Record 1
First-principles (PBE) data for a geometry-optimized ZnGaSnO4 structure, as listed in OQMD.

The space group is P4_122 (No. 91) and the conventional cell measures 6.1925, 6.1925 and 8.6866 Å, with angles of 90.00, 90.00 and 90.00 degrees. The inequivalent atoms are Zn at (0.0000, 0.2499, 0.0000), Ga at (0.2522, 0.5000, 0.7500), Sn at (0.2466, 0.2466, 0.3750), O at (0.0355, 0.2640, 0.7583) and O at (0.2642, 0.4791, 0.9821).

The value obtained for the offset from the most stable computed form is 0 kJ/mol of formula units.

***

Record 2
First-principles (PBE) data for a geometry-optimized Ta2Ga2O5 structure, as listed in OQMD.

The space group is P4/mmm (No. 123) and the conventional cell measures 3.9667, 3.9667 and 7.9842 Å, with angles of 90.00, 90.00 and 90.00 degrees. The inequivalent atoms are Ta at (0.0000, 0.0000, 0.2500), Ga at (0.5000, 0.5000, 0.0000), Ga at (0.5000, 0.5000, 0.5000), O at (0.0000, 0.0000, 0.0000) and O at (0.0000, 0.5000, 0.2582).

The value obtained for the offset from the most stable computed form is 0 kJ/mol of formula units.

***

Record 3
First-principles (PBE) data for a geometry-optimized Ta2Ga2O5 structure, as listed in OQMD.

The space group is P4/mmm (No. 123) and the conventional cell measures 3.9852, 3.9852 and 5.9573 Å, with angles of 90.00, 90.00 and 90.00 degrees. The inequivalent atoms are Ta at (0.0000, 0.0000, 0.0000), Ta at (0.0000, 0.0000, 0.5000), Ga at (0.5000, 0.5000, 0.1953), O at (0.0000, 0.5000, 0.2375) and O at (0.5000, 0.5000, 0.5000).

The value obtained for the offset from the most stable computed form is 814 kJ/mol of formula units.

***

Record 4
First-principles (PBE) data for a geometry-optimized Tb2GaO4 structure, as listed in OQMD.

The space group is Fd-3m (No. 227, origin choice 2) and the conventional cell measures 9.1776, 9.1776 and 9.1776 Å, with angles of 90.00, 90.00 and 90.00 degrees. The inequivalent atoms are Tb at (0.0000, 0.0000, 0.0000), Ga at (0.1250, 0.1250, 0.6250) and O at (0.0054, 0.0054, 0.7446).

The total energy comes out at -7.26 eV/atom.

***

Record 5
First-principles (PBE) data for a geometry-optimized Tb2Ga2O5 structure, as listed in OQMD.

The space group is P4/mmm (No. 123) and the conventional cell measures 3.9158, 3.9158 and 8.7414 Å, with angles of 90.00, 90.00 and 90.00 degrees. The inequivalent atoms are Tb at (0.0000, 0.0000, 0.2448), Ga at (0.5000, 0.5000, 0.0000), Ga at (0.5000, 0.5000, 0.5000), O at (0.0000, 0.0000, 0.5000) and O at (0.0000, 0.5000, 0.1416).

The value obtained for the offset from the most stable computed form is 187 kJ/mol of formula units.

***

Record 6
First-principles (PBE) data for a geometry-optimized Tb3GaO6 structure, as listed in OQMD.

The space group is Cmc2_1 (No. 36) and the conventional cell measures 8.8840, 11.1275 and 5.4243 Å, with angles of 90.00, 90.00 and 90.00 degrees. The inequivalent atoms are Tb at (0.0000, 0.1025, 0.0000), Tb at (0.1926, 0.3944, 0.9522), Ga at (0.0000, 0.3072, 0.4220), O at (0.0000, 0.2829, 0.7581), O at (0.0000, 0.4622, 0.2805), O at (0.1584, 0.2368, 0.2434) and O at (0.1602, 0.0161, 0.7250).

The total energy comes out at -7.82 eV/atom.

***

Record 7
First-principles (PBE) data for a geometry-optimized Tb2Ga2O5 structure, as listed in OQMD.

The space group is P4/mmm (No. 123) and the conventional cell measures 3.8877, 3.8877 and 6.8107 Å, with angles of 90.00, 90.00 and 90.00 degrees. The inequivalent atoms are Tb at (0.0000, 0.0000, 0.0000), Tb at (0.0000, 0.0000, 0.5000), Ga at (0.5000, 0.5000, 0.2060), O at (0.0000, 0.5000, 0.2363) and O at (0.5000, 0.5000, 0.5000).

The value obtained for the offset from the most stable computed form is 0 kJ/mol of formula units.

***

Record 8
First-principles (PBE) data for a geometry-optimized GaTc2O4 structure, as listed in OQMD.

The space group is Fd-3m (No. 227, origin choice 2) and the conventional cell measures 8.4959, 8.4959 and 8.4959 Å, with angles of 90.00, 90.00 and 90.00 degrees. The inequivalent atoms are Ga at (0.1250, 0.1250, 0.1250), Tc at (0.0000, 0.0000, 0.5000) and O at (0.0004, 0.0004, 0.2496).

The total energy comes out at -7.29 eV/atom.

***

Record 9
First-principles (PBE) data for a geometry-optimized TmGa2O4 structure, as listed in OQMD.

The space group is Ama2 (No. 40) and the conventional cell measures 7.8977, 9.1014 and 5.3597 Å, with angles of 90.00, 90.00 and 90.00 degrees. The inequivalent atoms are Tm at (0.2500, 0.0356, 0.0000), Ga at (0.0348, 0.1627, 0.5488), O at (0.0000, 0.0000, 0.7790), O at (0.0670, 0.1717, 0.1999) and O at (0.2500, 0.1994, 0.6958).

The value obtained for the offset from the most stable computed form is 0 kJ/mol of formula units.

***

Record 10
First-principles (PBE) data for a geometry-optimized TmGa2O4 structure, as listed in OQMD.

The space group is Fd-3m (No. 227, origin choice 2) and the conventional cell measures 8.8591, 8.8591 and 8.8591 Å, with angles of 90.00, 90.00 and 90.00 degrees. The inequivalent atoms are Tm at (0.1250, 0.1250, 0.1250), Ga at (0.0000, 0.0000, 0.5000) and O at (0.0137, 0.0137, 0.7363).

The value obtained for the offset from the most stable computed form is 12 kJ/mol of formula units.

***

Record 11
First-principles (PBE) data for a geometry-optimized Zn2Ga2O5 structure, as listed in OQMD.

The space group is P4/mmm (No. 123) and the conventional cell measures 3.6087, 3.6087 and 7.8428 Å, with angles of 90.00, 90.00 and 90.00 degrees. The inequivalent atoms are Zn at (0.0000, 0.0000, 0.2446), Ga at (0.5000, 0.5000, 0.0000), Ga at (0.5000, 0.5000, 0.5000), O at (0.0000, 0.0000, 0.5000) and O at (0.0000, 0.5000, 0.1552).

The value obtained for the offset from the most stable computed form is 222 kJ/mol of formula units.

***

Record 12
First-principles (PBE) data for a geometry-optimized Zn2Ga2O5 structure, as listed in OQMD.

The space group is P4/mmm (No. 123) and the conventional cell measures 3.6686, 3.6686 and 7.4049 Å, with angles of 90.00, 90.00 and 90.00 degrees. The inequivalent atoms are Zn at (0.0000, 0.0000, 0.0000), Zn at (0.0000, 0.0000, 0.5000), Ga at (0.5000, 0.5000, 0.2435), O at (0.0000, 0.5000, 0.1831) and O at (0.5000, 0.5000, 0.5000).

The value obtained for the offset from the most stable computed form is 0 kJ/mol of formula units.

***

Record 13
First-principles (PBE) data for a geometry-optimized GaOs structure, as listed in OQMD.

The space group is Fm-3m (No. 225) and the conventional cell measures 5.0695, 5.0695 and 5.0695 Å, with angles of 90.00, 90.00 and 90.00 degrees. The inequivalent atoms are Ga at (0.0000, 0.0000, 0.0000) and Os at (0.0000, 0.0000, 0.5000).

The total energy comes out at -6.24 eV/atom.

***

Record 14
First-principles (PBE) data for a geometry-optimized Ga2Os structure, as listed in OQMD.

The space group is Fd-3m (No. 227, origin choice 2) and the conventional cell measures 7.0497, 7.0497 and 7.0497 Å, with angles of 90.00, 90.00 and 90.00 degrees. The inequivalent atoms are Ga at (0.0000, 0.0000, 0.0000) and Os at (0.1250, 0.1250, 0.6250).

The total energy comes out at -5.04 eV/atom.

***

Record 15
First-principles (PBE) data for a geometry-optimized GaOs2 structure, as listed in OQMD.

The space group is Fd-3m (No. 227, origin choice 2) and the conventional cell measures 11.1358, 11.1358 and 11.1358 Å, with angles of 90.00, 90.00 and 90.00 degrees. The inequivalent atoms are Ga at (0.1250, 0.1250, 0.1250) and Os at (0.0000, 0.0000, 0.0000).

The total energy comes out at -4.57 eV/atom.

***

Record 16
First-principles (PBE) data for a geometry-optimized GaOs structure, as listed in OQMD.

The space group is P-6m2 (No. 187) and the conventional cell measures 2.8974, 2.8974 and 3.9948 Å, with angles of 90.00, 90.00 and 120.00 degrees. The inequivalent atoms are Ga at (0.0000, 0.0000, 0.0000) and Os at (0.6667, 0.3333, 0.5000).

The total energy comes out at -7.08 eV/atom.

***

Record 17
First-principles (PBE) data for a geometry-optimized GaOs2 structure, as listed in OQMD.

The space group is Fd-3m (No. 227, origin choice 2) and the conventional cell measures 7.3164, 7.3164 and 7.3164 Å, with angles of 90.00, 90.00 and 90.00 degrees. The inequivalent atoms are Ga at (0.1250, 0.1250, 0.1250) and Os at (0.0000, 0.0000, 0.5000).

The total energy comes out at -7.73 eV/atom.

***

Record 18
First-principles (PBE) data for a geometry-optimized GaOs2 structure, as listed in OQMD.

The space group is Fm-3m (No. 225) and the conventional cell measures 5.7909, 5.7909 and 5.7909 Å, with angles of 90.00, 90.00 and 90.00 degrees. The inequivalent atoms are Ga at (0.0000, 0.0000, 0.0000) and Os at (0.2500, 0.2500, 0.2500).

The total energy comes out at -7.57 eV/atom.

***

Record 19
First-principles (PBE) data for a geometry-optimized Ga2Os structure, as listed in OQMD.

The space group is Fd-3m (No. 227, origin choice 2) and the conventional cell measures 10.8757, 10.8757 and 10.8757 Å, with angles of 90.00, 90.00 and 90.00 degrees. The inequivalent atoms are Ga at (0.0000, 0.0000, 0.0000) and Os at (0.1250, 0.1250, 0.1250).

The total energy comes out at -4.75 eV/atom.

***

Record 20
First-principles (PBE) data for a geometry-optimized GaOs structure, as listed in OQMD.

The space group is F-43m (No. 216) and the conventional cell measures 5.6133, 5.6133 and 5.6133 Å, with angles of 90.00, 90.00 and 90.00 degrees. The inequivalent atoms are Ga at (0.0000, 0.0000, 0.0000) and Os at (0.2500, 0.2500, 0.7500).

The total energy comes out at -5.58 eV/atom.